[1]
Compound: K6Nb11O30
Source: the Alexandria database
Functional: PBE-GGA
Structure: optimized geometry

Properties
ρ ... 4.3 Mg/m³
Total moment ... 0.38 μB/f.u.
Formation energy from raw total energies ... -2.44 eV/atom
VASP energy ... -380.914 eV/cell
SG ... Amm2, No. 38

```
data_K6Nb11O30
_space_group_name_H-M_alt 'P 1'
_space_group_IT_number 1
_space_group_name_Hall 'P 1'
_cell_length_a 13.065
_cell_length_b 13.065
_cell_length_c 3.960
_cell_angle_alpha 90.00
_cell_angle_beta 90.00
_cell_angle_gamma 89.97
loop_
_atom_site_label
_atom_site_fract_x
_atom_site_fract_y
_atom_site_fract_z
_atom_site_occupancy
K1 0.340 0.301 0.500 1
K2 0.699 0.660 0.500 1
K3 0.164 0.836 0.500 1
K4 0.839 0.161 0.500 1
K5 0.506 0.012 0.500 1
K6 0.988 0.494 0.500 1
Nb1 0.191 0.566 0.000 1
Nb2 0.795 0.417 0.000 1
Nb3 0.292 0.083 0.000 1
Nb4 0.726 0.928 0.000 1
Nb5 0.917 0.708 0.000 1
Nb6 0.072 0.274 0.000 1
Nb7 0.434 0.809 0.000 1
Nb8 0.583 0.205 0.000 1
Nb9 0.512 0.488 0.000 1
Nb10 0.012 0.988 0.000 1
Nb11 0.373 0.627 0.500 1
O1 0.494 0.349 0.000 1
O2 0.483 0.653 0.000 1
O3 0.003 0.842 0.000 1
O4 0.999 0.154 0.000 1
O5 0.158 0.997 0.000 1
O6 0.846 0.001 0.000 1
O7 0.651 0.506 0.000 1
O8 0.347 0.517 0.000 1
O9 0.412 0.776 0.500 1
O10 0.569 0.214 0.500 1
O11 0.076 0.298 0.500 1
O12 0.923 0.707 0.500 1
O13 0.702 0.924 0.500 1
O14 0.293 0.077 0.500 1
O15 0.224 0.588 0.500 1
O16 0.786 0.431 0.500 1
O17 0.297 0.703 0.000 1
O18 0.711 0.289 0.000 1
O19 0.211 0.213 0.000 1
O20 0.787 0.789 0.000 1
O21 0.482 0.518 0.500 1
O22 0.000 0.000 0.500 1
O23 0.564 0.860 0.000 1
O24 0.428 0.144 0.000 1
O25 0.926 0.357 0.000 1
O26 0.069 0.640 0.000 1
O27 0.643 0.074 0.000 1
O28 0.360 0.931 0.000 1
O29 0.140 0.436 0.000 1
O30 0.856 0.572 0.000 1
```

=====

[2]
Compound: K2Nb2O5
Source: the Alexandria database
Functional: PBE-GGA
Structure: optimized geometry

Properties
ρ ... 4.2 Mg/m³
Total moment ... 0.67 μB/f.u.
Formation energy from raw total energies ... -2.14 eV/atom
VASP energy ... -66.420 eV/cell
SG ... P4/mmm, No. 123

```
data_K2Nb2O5
_space_group_name_H-M_alt 'P 1'
_space_group_IT_number 1
_space_group_name_Hall 'P 1'
_cell_length_a 4.048
_cell_length_b 4.048
_cell_length_c 8.209
_cell_angle_alpha 90.00
_cell_angle_beta 90.00
_cell_angle_gamma 90.00
loop_
_atom_site_label
_atom_site_fract_x
_atom_site_fract_y
_atom_site_fract_z
_atom_site_occupancy
K1 0.000 0.000 0.000 1
K2 0.000 0.000 0.500 1
Nb1 0.500 0.500 0.258 1
Nb2 0.500 0.500 0.742 1
O1 0.500 0.000 0.239 1
O2 0.500 0.000 0.761 1
O3 0.500 0.500 0.500 1
O4 0.000 0.500 0.239 1
O5 0.000 0.500 0.761 1
```

=====

[3]
Compound: K2Nb3O8
Source: the Alexandria database
Functional: PBE-GGA
Structure: optimized geometry

Properties
ρ ... 3.8 Mg/m³
Total moment ... 0.85 μB/f.u.
Formation energy from raw total energies ... -2.39 eV/atom
VASP energy ... -103.118 eV/cell
SG ... C2/m, No. 12

```
data_K2Nb3O8
_space_group_name_H-M_alt 'P 1'
_space_group_IT_number 1
_space_group_name_Hall 'P 1'
_cell_length_a 5.321
_cell_length_b 6.365
_cell_length_c 7.324
_cell_angle_alpha 115.76
_cell_angle_beta 107.44
_cell_angle_gamma 90.00
loop_
_atom_site_label
_atom_site_fract_x
_atom_site_fract_y
_atom_site_fract_z
_atom_site_occupancy
K1 0.327 0.271 0.542 1
K2 0.673 0.729 0.458 1
Nb1 0.500 0.000 0.000 1
Nb2 0.000 0.273 0.000 1
Nb3 0.000 0.727 0.000 1
O1 0.961 0.599 0.198 1
O2 0.039 0.401 0.802 1
O3 0.895 0.086 0.172 1
O4 0.105 0.914 0.828 1
O5 0.619 0.695 0.830 1
O6 0.619 0.135 0.830 1
O7 0.381 0.865 0.170 1
O8 0.381 0.305 0.170 1
```

=====

[4]
Compound: KNb2O6
Source: the Alexandria database
Functional: PBE-GGA
Structure: optimized geometry

Properties
ρ ... 3.5 Mg/m³
Total moment ... 1.08 μB/f.u.
Formation energy from raw total energies ... -2.23 eV/atom
VASP energy ... -142.035 eV/cell
SG ... Fd-3m, No. 227

```
data_KNb2O6
_space_group_name_H-M_alt 'P 1'
_space_group_IT_number 1
_space_group_name_Hall 'P 1'
_cell_length_a 7.531
_cell_length_b 7.531
_cell_length_c 7.531
_cell_angle_alpha 60.00
_cell_angle_beta 60.00
_cell_angle_gamma 60.00
loop_
_atom_site_label
_atom_site_fract_x
_atom_site_fract_y
_atom_site_fract_z
_atom_site_occupancy
K1 0.500 0.500 0.500 1
K2 0.750 0.750 0.750 1
Nb1 0.125 0.125 0.125 1
Nb2 0.125 0.625 0.125 1
Nb3 0.125 0.125 0.625 1
Nb4 0.625 0.125 0.125 1
O1 0.189 0.189 0.811 1
O2 0.811 0.811 0.189 1
O3 0.189 0.811 0.189 1
O4 0.189 0.811 0.811 1
O5 0.439 0.439 0.061 1
O6 0.439 0.061 0.061 1
O7 0.811 0.189 0.811 1
O8 0.061 0.061 0.439 1
O9 0.439 0.061 0.439 1
O10 0.061 0.439 0.439 1
O11 0.811 0.189 0.189 1
O12 0.061 0.439 0.061 1
```

=====

[5]
Compound: K3NbO4
Source: the Alexandria database
Functional: PBE-GGA
Structure: optimized geometry

Properties
ρ ... 2.5 Mg/m³
Total moment ... 0.18 μB/f.u.
Formation energy from raw total energies ... -2.17 eV/atom
VASP energy ... -101.157 eV/cell
SG ... Pmn2_1, No. 31

```
data_K3NbO4
_space_group_name_H-M_alt 'P 1'
_space_group_IT_number 1
_space_group_name_Hall 'P 1'
_cell_length_a 6.323
_cell_length_b 7.022
_cell_length_c 8.123
_cell_angle_alpha 90.00
_cell_angle_beta 90.00
_cell_angle_gamma 90.00
loop_
_atom_site_label
_atom_site_fract_x
_atom_site_fract_y
_atom_site_fract_z
_atom_site_occupancy
K1 0.514 0.848 0.000 1
K2 0.012 0.676 0.244 1
K3 0.512 0.324 0.256 1
K4 0.014 0.152 0.500 1
K5 0.512 0.324 0.744 1
K6 0.012 0.676 0.756 1
Nb1 0.999 0.178 0.000 1
Nb2 0.499 0.822 0.500 1
O1 0.092 0.922 0.000 1
O2 0.702 0.181 0.000 1
O3 0.093 0.305 0.192 1
O4 0.593 0.695 0.308 1
O5 0.202 0.819 0.500 1
O6 0.592 0.078 0.500 1
O7 0.593 0.695 0.692 1
O8 0.093 0.305 0.808 1
```

=====

[6]
Compound: KNb2O4
Source: the Alexandria database
Functional: PBE-GGA
Structure: optimized geometry

Properties
ρ ... 5.4 Mg/m³
Total moment ... 0.52 μB/f.u.
Formation energy from raw total energies ... -2.12 eV/atom
VASP energy ... -223.770 eV/cell
SG ... Pnma, No. 62

```
data_KNb2O4
_space_group_name_H-M_alt 'P 1'
_space_group_IT_number 1
_space_group_name_Hall 'P 1'
_cell_length_a 2.896
_cell_length_b 10.382
_cell_length_c 11.886
_cell_angle_alpha 90.00
_cell_angle_beta 90.00
_cell_angle_gamma 90.00
loop_
_atom_site_label
_atom_site_fract_x
_atom_site_fract_y
_atom_site_fract_z
_atom_site_occupancy
K1 0.250 0.755 0.342 1
K2 0.750 0.245 0.658 1
K3 0.250 0.255 0.158 1
K4 0.750 0.745 0.842 1
Nb1 0.750 0.069 0.891 1
Nb2 0.250 0.931 0.109 1
Nb3 0.750 0.569 0.609 1
Nb4 0.250 0.431 0.391 1
Nb5 0.250 0.421 0.894 1
Nb6 0.750 0.579 0.106 1
Nb7 0.250 0.921 0.606 1
Nb8 0.750 0.079 0.394 1
O1 0.750 0.078 0.065 1
O2 0.250 0.922 0.935 1
O3 0.750 0.578 0.435 1
O4 0.250 0.422 0.565 1
O5 0.750 0.989 0.727 1
O6 0.250 0.011 0.273 1
O7 0.750 0.489 0.773 1
O8 0.250 0.511 0.227 1
O9 0.750 0.397 0.026 1
O10 0.250 0.603 0.974 1
O11 0.750 0.897 0.474 1
O12 0.250 0.103 0.526 1
O13 0.250 0.223 0.862 1
O14 0.750 0.777 0.138 1
O15 0.250 0.723 0.638 1
O16 0.750 0.277 0.362 1
```

=====

[7]
Compound: KNb4O6
Source: the Alexandria database
Functional: PBE-GGA
Structure: optimized geometry

Properties
ρ ... 5.7 Mg/m³
Total moment ... 0.00 μB/f.u.
Formation energy from raw total energies ... -2.20 eV/atom
VASP energy ... -95.325 eV/cell
SG ... P4/mmm, No. 123

```
data_KNb4O6
_space_group_name_H-M_alt 'P 1'
_space_group_IT_number 1
_space_group_name_Hall 'P 1'
_cell_length_a 4.203
_cell_length_b 4.203
_cell_length_c 8.341
_cell_angle_alpha 90.00
_cell_angle_beta 90.00
_cell_angle_gamma 90.00
loop_
_atom_site_label
_atom_site_fract_x
_atom_site_fract_y
_atom_site_fract_z
_atom_site_occupancy
K1 0.000 0.000 0.000 1
Nb1 0.500 0.000 0.500 1
Nb2 0.000 0.500 0.500 1
Nb3 0.500 0.500 0.243 1
Nb4 0.500 0.500 0.757 1
O1 0.500 0.500 0.000 1
O2 0.500 0.000 0.246 1
O3 0.000 0.500 0.246 1
O4 0.500 0.000 0.754 1
O5 0.000 0.500 0.754 1
O6 0.000 0.000 0.500 1
```

=====

| no. | volume (Å³ per cell) |
| --- | --- |
| 1 | 675.92 |
| 2 | 134.54 |
| 3 | 210.68 |
| 4 | 302.05 |
| 5 | 360.64 |
| 6 | 357.36 |
| 7 | 147.33 |